DFT (GGA-PBE) results for a geometry-optimized NaScAgSb structure.

a b c (Å): 7.0981 7.0981 7.0981
angles (deg): 90.00 90.00 90.00
With the nearest neighbours (Å) after each atom.
Space group F-43m (No. 216)
Unique sites:
Na 0.0000 0.0000 0.0000  4 Sb 3.07, 4 Ag 3.07
Sc 0.0000 0.0000 0.5000  4 Sb 3.07, 4 Ag 3.07
Ag 0.2500 0.2500 0.7500  4 Na 3.07, 4 Sc 3.07
Sb 0.2500 0.2500 0.2500  4 Na 3.07, 4 Sc 3.07

Summary:
For the uncorrected formation energy, the calculation gives -0.35 eV/atom.


DFT (GGA-PBE) results for a geometry-optimized Na2Ag2SbSe4 structure.

a b c (Å): 15.9215 4.0406 7.5424
angles (deg): 90.00 115.13 90.00
With the nearest neighbours (Å) after each atom.
Space group C2/m (No. 12)
Unique sites:
Na 0.1419 0.0000 0.0607  5 Se 3.08-3.14
Ag 0.1825 0.5000 0.4647  4 Se 2.66-2.76, 2 Ag 2.83
Sb 0.0000 0.0000 0.5000  6 Se 2.89-2.90
Se 0.0022 0.5000 0.2285  1 Ag 2.66, 2 Sb 2.89
Se 0.2003 0.0000 0.7198  3 Ag 2.72-2.76, 1 Sb 2.90

Summary:
For the uncorrected formation energy, the calculation gives -0.45 eV/atom.


DFT (GGA-PBE) results for a geometry-optimized Na3AgSb2Se6 structure.

a b c (Å): 7.0322 12.1388 7.5000
angles (deg): 90.00 108.63 90.00
With the nearest neighbours (Å) after each atom.
Space group C2/m (No. 12)
Unique sites:
Na 0.0000 0.0000 0.0000  6 Se 2.98-3.06
Na 0.0000 0.3307 0.0000  6 Se 3.01-3.08
Ag 0.0000 0.5000 0.5000  6 Se 2.84-2.93
Sb 0.0000 0.1659 0.5000  6 Se 2.81-2.83
Se 0.2356 0.0000 0.7331  2 Sb 2.83, 1 Ag 2.93, 3 Na 2.98-3.05
Se 0.2427 0.3314 0.7228  2 Sb 2.81-2.83, 1 Ag 2.84, 3 Na 3.01-3.08

Summary:
For the uncorrected formation energy, the calculation gives -0.52 eV/atom.


DFT (GGA-PBE) results for a geometry-optimized Na3AgSb3Se8 structure.

a b c (Å): 13.9564 8.0192 8.6344
angles (deg): 90.00 122.86 90.00
With the nearest neighbours (Å) after each atom.
Space group C2/m (No. 12)
Unique sites:
Na 0.0000 0.0000 0.0000  6 Se 3.03-3.06
Na 0.2500 0.2500 0.0000  6 Se 3.03-3.06
Ag 0.0000 0.0000 0.5000  6 Se 2.65-2.82
Sb 0.0000 0.5000 0.5000  6 Se 2.84-2.86
Sb 0.2500 0.2500 0.5000  6 Se 2.85-2.87
Se 0.0070 0.2485 0.2746  1 Ag 2.82, 2 Sb 2.84-2.85, 2 Na 3.04-3.06
Se 0.2261 0.0000 0.7137  1 Ag 2.65, 2 Sb 2.86
Se 0.2436 0.5000 0.7320  3 Sb 2.86-2.87, 3 Na 3.03

Summary:
For the uncorrected formation energy, the calculation gives -0.43 eV/atom.


DFT (GGA-PBE) results for a geometry-optimized NaAgSbSe3 structure.

a b c (Å): 7.7027 4.0648 10.8923
angles (deg): 90.00 105.91 90.00
With the nearest neighbours (Å) after each atom.
Space group P2_1/m (No. 11)
Unique sites:
Na 0.1437 0.2500 0.1670  6 Se 2.97-3.18
Ag 0.1211 0.7500 0.5615  4 Se 2.65-2.76, 2 Ag 2.84
Sb 0.3740 0.2500 0.8365  6 Se 2.79-2.92
Se 0.0098 0.2500 0.6940  3 Ag 2.69-2.76, 1 Sb 2.81, 2 Na 2.97
Se 0.2683 0.7500 0.9943  3 Sb 2.86-2.92, 3 Na 3.10-3.18
Se 0.4676 0.7500 0.6907  1 Ag 2.65, 2 Sb 2.79, 1 Na 2.97

Summary:
For the uncorrected formation energy, the calculation gives -0.38 eV/atom.


DFT (GGA-PBE) results for a geometry-optimized NaAgSbSe2 structure.

a b c (Å): 7.2696 4.4901 8.2762
angles (deg): 90.00 99.63 90.00
With the nearest neighbours (Å) after each atom.
Space group P2/c (No. 13)
Unique sites:
Na 0.0000 0.1307 0.2500  6 Se 3.11-3.26
Ag 0.5000 0.0000 0.0000  2 Se 2.60
Sb 0.5000 0.4931 0.7500  4 Se 2.94-2.96, 4 Ag 3.03-3.08
Se 0.2191 0.3674 0.9611  1 Ag 2.60

Summary:
For the uncorrected formation energy, the calculation gives -0.31 eV/atom.


DFT (GGA-PBE) results for a geometry-optimized NaAg2SbSe4 structure.

a b c (Å): 6.1381 6.1381 12.7126
angles (deg): 90.00 90.00 90.00
With the nearest neighbours (Å) after each atom.
Space group I-4 (No. 82)
Unique sites:
Na 0.0000 0.0000 0.0000  4 Se 2.85
Ag 0.0000 0.0000 0.5000  4 Se 2.66
Ag 0.0000 0.5000 0.7500  4 Se 2.70
Sb 0.0000 0.5000 0.2500  4 Se 2.56
Se 0.2257 0.2464 0.3665  1 Sb 2.56, 2 Ag 2.66-2.70, 1 Na 2.85

Summary:
For the uncorrected formation energy, the calculation gives -0.30 eV/atom.


DFT (GGA-PBE) results for a geometry-optimized NaAgSnSb structure.

a b c (Å): 7.2892 7.2892 7.2892
angles (deg): 90.00 90.00 90.00
With the nearest neighbours (Å) after each atom.
Space group F-43m (No. 216)
Unique sites:
Na 0.0000 0.0000 0.0000  4 Sn 3.16, 4 Sb 3.16
Ag 0.0000 0.0000 0.5000  4 Sn 3.16, 4 Sb 3.16
Sn 0.2500 0.2500 0.2500  4 Ag 3.16, 4 Na 3.16
Sb 0.2500 0.2500 0.7500  4 Na 3.16, 4 Ag 3.16

Summary:
For the uncorrected formation energy, the calculation gives -0.03 eV/atom.


DFT (GGA-PBE) results for a geometry-optimized Na2Ag4SnSb3 structure.

a b c (Å): 4.5961 4.5961 12.2185
angles (deg): 90.00 90.00 90.00
With the nearest neighbours (Å) after each atom.
Space group P-4m2 (No. 115)
Unique sites:
Na 0.0000 0.5000 0.2277  4 Sb 3.44, 8 Ag 3.61
Ag 0.0000 0.0000 0.0000  4 Sb 2.83
Ag 0.0000 0.5000 0.6437  3 Sb 2.70-2.89, 2 Sn 2.89
Ag 0.5000 0.5000 0.0000  4 Sb 2.83
Sn 0.0000 0.0000 0.5000  4 Ag 2.89
Sb 0.0000 0.5000 0.8642  5 Ag 2.70-2.83
Sb 0.5000 0.5000 0.5000  4 Ag 2.89

Summary:
For the uncorrected formation energy, the calculation gives -0.10 eV/atom.


DFT (GGA-PBE) results for a geometry-optimized NaSr2Ag3Sb4 structure.

a b c (Å): 4.7010 4.7010 12.5001
angles (deg): 90.00 90.00 90.00
With the nearest neighbours (Å) after each atom.
Space group P-4m2 (No. 115)
Unique sites:
Na 0.0000 0.0000 0.0000  4 Sb 2.97, 4 Ag 3.32
Sr 0.0000 0.5000 0.7535  8 Sb 3.56-3.95, 6 Ag 3.63-3.88, 2 Na 3.88
Ag 0.0000 0.5000 0.3625  5 Sb 2.71-2.91
Ag 0.5000 0.5000 0.0000  4 Sb 2.97, 4 Na 3.32
Sb 0.0000 0.0000 0.5000  4 Ag 2.91
Sb 0.0000 0.5000 0.1456  3 Ag 2.71-2.97, 2 Na 2.97
Sb 0.5000 0.5000 0.5000  4 Ag 2.91

Summary:
For the uncorrected formation energy, the calculation gives -0.47 eV/atom.


Repeat the fifth record exactly.
DFT (GGA-PBE) results for a geometry-optimized NaAgSbSe3 structure.

a b c (Å): 7.7027 4.0648 10.8923
angles (deg): 90.00 105.91 90.00
With the nearest neighbours (Å) after each atom.
Space group P2_1/m (No. 11)
Unique sites:
Na 0.1437 0.2500 0.1670  6 Se 2.97-3.18
Ag 0.1211 0.7500 0.5615  4 Se 2.65-2.76, 2 Ag 2.84
Sb 0.3740 0.2500 0.8365  6 Se 2.79-2.92
Se 0.0098 0.2500 0.6940  3 Ag 2.69-2.76, 1 Sb 2.81, 2 Na 2.97
Se 0.2683 0.7500 0.9943  3 Sb 2.86-2.92, 3 Na 3.10-3.18
Se 0.4676 0.7500 0.6907  1 Ag 2.65, 2 Sb 2.79, 1 Na 2.97

Summary:
For the uncorrected formation energy, the calculation gives -0.38 eV/atom.